[1]
CrPbAu2, optimized geometry, DFT PBE; DOS at the Fermi energy = 2.8 states/eV/cell; E_form = 0.11 eV/atom; SG = No. 10
1.0
3.4290 0.0000 0.0000
0.0000 3.3190 0.0004
0.0000 3.2830 7.2046
Au Cr Pb
2 1 1
direct
0.0000 0.9546 0.0441
0.0000 0.5454 0.4559
0.5000 0.2500 0.2500
0.5000 0.7500 0.7500


[2]
LaTbPr2Y5, optimized geometry, DFT PBE; DOS at the Fermi energy = 20.4 states/eV/cell; E_form = 0.23 eV/atom; SG = No. 140
1.0
-0.0124 -4.2530 -7.6046
-2.6341 -7.2469 4.0573
-6.2456 7.8504 0.6113
La Tb Pr Y
2 2 4 10
direct
0.2500 0.7500 0.5000
0.7500 0.2500 0.5000
0.2500 0.2500 0.5000
0.7500 0.7500 0.5000
0.1191 0.3809 0.0000
0.6191 0.1191 0.0000
0.3809 0.8809 0.0000
0.8809 0.6191 0.0000
0.9310 0.4310 0.2770
0.6540 0.1540 0.7230
0.0690 0.5690 0.7230
0.1540 0.0690 0.7230
0.5690 0.6540 0.7230
0.8460 0.9310 0.2770
0.4310 0.3460 0.2770
0.3460 0.8460 0.2770
0.5000 0.5000 0.0000
0.0000 0.0000 0.0000


[3]
ZrTiCl3, optimized geometry, DFT PBE; DOS at the Fermi energy = 8.0 states/eV/cell; energy relative to the elements, uncorrected = -1.903 eV/f.u.; polymorph energy (0 for the lowest one) = 970 meV/atom; SG = No. 221
1.0
5.0622 0.0000 0.0000
0.0000 5.0622 0.0000
0.0000 0.0000 5.0622
Cl Zr Ti
3 1 1
direct
0.0000 0.5000 0.0000
0.0000 0.0000 0.5000
0.5000 0.0000 0.0000
0.0000 0.0000 0.0000
0.5000 0.5000 0.5000


[4]
Ho2ErPd, optimized geometry, DFT PBE; DOS at the Fermi energy = 18.2 states/eV/cell; E_form = -0.48 eV/atom; polymorph energy (0 for the lowest one) = 0 meV/atom; SG = No. 62
1.0
-4.3988 1.7758 -4.3431
-5.0012 -2.9332 3.8661
-1.2604 8.3100 4.6743
Ho Er Pd
8 4 4
direct
0.1770 0.6825 0.0589
0.3230 0.1825 0.4411
0.8230 0.3175 0.5589
0.6770 0.8175 0.9411
0.8230 0.3175 0.9411
0.6770 0.8175 0.5589
0.1770 0.6825 0.4411
0.3230 0.1825 0.0589
0.6302 0.5232 0.2500
0.8698 0.0232 0.2500
0.3698 0.4768 0.7500
0.1302 0.9768 0.7500
0.0538 0.3915 0.2500
0.4462 0.8915 0.2500
0.9462 0.6085 0.7500
0.5538 0.1085 0.7500


[5]
Na2CaF4, optimized geometry, DFT PBE; DOS at the Fermi energy = 0.0 states/eV/cell; energy relative to the elements, uncorrected = -22.430 eV/f.u.; polymorph energy (0 for the lowest one) = 0 meV/atom; SG = No. 141
1.0
1.4496 2.9626 -5.3237
4.9227 -3.3597 1.9233
-4.8728 -3.8066 -0.9926
Na Ca F
4 2 8
direct
0.7500 0.3750 0.1250
0.2500 0.8750 0.6250
0.2500 0.3750 0.6250
0.7500 0.3750 0.6250
0.5000 0.7500 0.2500
0.0000 0.0000 0.0000
0.8096 0.1209 0.3114
0.8096 0.6886 0.4982
0.1904 0.5018 0.3114
0.1904 0.6886 0.8791
0.3096 0.0614 0.3710
0.3096 0.2482 0.9386
0.6904 0.0614 0.7518
0.6904 0.6290 0.9386


[6]
Ca2ZrAlGe, optimized geometry, DFT PBE; DOS at the Fermi energy = 5.7 states/eV/cell; E_form = 0.78 eV/atom; SG = No. 123
1.0
5.8601 0.0000 0.0000
0.0000 5.1498 0.0000
0.0000 0.0000 5.8601
Ge Ca Zr Al
1 2 1 1
direct
0.0000 0.5000 0.0000
0.0000 0.0000 0.5000
0.5000 0.0000 0.0000
0.0000 0.0000 0.0000
0.5000 0.5000 0.5000